Record 1
The following is a DFT calculation (PBE) of crystalline KTcTeI2 at its relaxed geometry.

Cell and atoms, written as POSCAR:
```
KTcTeI2
1.0
6.058 0.000 0.000
0.000 6.058 0.000
0.000 0.000 6.140
K Tc Te I
1 1 1 2
direct
0.000 0.000 0.000
0.500 0.500 0.500
0.000 0.000 0.500
0.000 0.500 0.000
0.500 0.000 0.000
```

magnetization	4.00	μB/f.u.
ρ	3.82	g/cm³
offset from the most stable computed form	1.276	eV per atom
energy	-2.47	eV/atom
symmetry	P4/mmm, No. 123
raw formation energy	1.071	eV per atom



Record 2
The following is a DFT calculation (PBE) of crystalline KTcTe2I at its relaxed geometry.

Cell and atoms, written as POSCAR:
```
KTcTe2I
1.0
5.211 0.000 0.000
0.000 5.211 0.000
0.000 0.000 6.165
K Tc Te I
1 1 2 1
direct
0.000 0.000 0.000
0.500 0.500 0.500
0.000 0.500 0.500
0.500 0.000 0.500
0.500 0.500 0.000
```

magnetization	0.40	μB/f.u.
ρ	5.15	g/cm³
offset from the most stable computed form	0.000	eV per atom
energy	-4.00	eV/atom
symmetry	P4/mmm, No. 123
raw formation energy	-0.136	eV per atom



Record 3
The following is a DFT calculation (PBE) of crystalline KTl2TcI8 at its relaxed geometry.

Cell and atoms, written as POSCAR:
```
KTl2TcI8
1.0
7.144 0.000 0.000
0.000 9.764 0.000
-2.769 0.000 7.515
K Tl Tc I
1 2 1 8
direct
0.000 0.000 0.000
0.000 0.245 0.500
0.000 0.755 0.500
0.000 0.500 0.000
0.238 0.500 0.797
0.241 0.304 0.216
0.241 0.696 0.216
0.291 0.000 0.717
0.709 0.000 0.283
0.759 0.304 0.784
0.759 0.696 0.784
0.762 0.500 0.203
```

magnetization	2.22	μB/f.u.
ρ	4.95	g/cm³
energy	-2.85	eV/atom
symmetry	P2/m, No. 10
raw formation energy	-0.463	eV per atom



Record 4
The following is a DFT calculation (PBE) of crystalline KTlTcI6 at its relaxed geometry.

Cell and atoms, written as POSCAR:
```
KTlTcI6
1.0
8.355 0.000 0.000
-4.178 7.236 0.000
0.000 0.000 13.673
K Tl Tc I
2 2 2 12
direct
0.000 0.000 0.000
0.000 0.000 0.500
0.333 0.667 0.250
0.667 0.333 0.750
0.333 0.667 0.750
0.667 0.333 0.250
0.064 0.401 0.633
0.064 0.663 0.867
0.337 0.401 0.867
0.337 0.936 0.633
0.401 0.064 0.133
0.401 0.337 0.367
0.599 0.663 0.633
0.599 0.936 0.867
0.663 0.064 0.367
0.663 0.599 0.133
0.936 0.337 0.133
0.936 0.599 0.367
```

magnetization	2.97	μB/f.u.
ρ	4.43	g/cm³
energy	-3.06	eV/atom
symmetry	P-31c, No. 163
raw formation energy	-0.488	eV per atom